(1)
VASP calculation (GGA-PBE) on a relaxed structure of FeAg2W.

Results
* polymorph energy (0 for the lowest one): 379.0 meV per atom
* total energy: -6.055 eV per atom

Unit cell a=4.4639 b=4.4639 c=4.4639 alpha=60.00 beta=60.00 gamma=60.00
Site moments in Bohr magnetons follow the coordinates.
Sites, in units of the cell vectors:
Ag 0.0000 0.0000 0.0000  -0.01
Ag 0.7500 0.7500 0.7500  0.02
Fe 0.5000 0.5000 0.5000  2.45
W 0.2500 0.2500 0.2500  -0.55

---

(2)
VASP calculation (GGA-PBE) on a relaxed structure of FeAgW2.

Results
* polymorph energy (0 for the lowest one): 246.2 meV per atom
* total energy: -8.743 eV per atom

Unit cell a=4.9883 b=4.9883 c=2.6781 alpha=90.00 beta=90.00 gamma=114.28
Site moments in Bohr magnetons follow the coordinates.
Sites, in units of the cell vectors:
Ag 0.5000 0.0000 0.5000  -0.01
Fe 0.0000 0.5000 0.5000  1.91
W 0.0000 0.0000 0.0000  -0.07
W 0.5000 0.5000 0.0000  -0.07

---

(3)
VASP calculation (GGA-PBE) on a relaxed structure of FeAgW2.

Results
* polymorph energy (0 for the lowest one): 221.2 meV per atom
* total energy: -8.768 eV per atom

Unit cell a=4.7767 b=4.7767 c=5.0760 alpha=83.49 beta=83.49 gamma=32.41
Site moments in Bohr magnetons follow the coordinates.
Sites, in units of the cell vectors:
Ag 0.5030 0.5030 0.4896  -0.01
Fe 0.2505 0.2505 0.2524  2.35
W 0.9949 0.9949 0.0053  -0.04
W 0.7516 0.7516 0.7526  -0.04

---

(4)
VASP calculation (GGA-PBE) on a relaxed structure of FeAg4W.

Results
* total energy: -4.550 eV per atom

Unit cell a=5.3042 b=5.3042 c=5.3042 alpha=60.00 beta=60.00 gamma=60.00
Site moments in Bohr magnetons follow the coordinates.
Sites, in units of the cell vectors:
Fe 0.2500 0.2500 0.2500  3.03
Ag 0.6250 0.6250 0.1251  -0.04
Ag 0.6250 0.1251 0.6250  -0.04
Ag 0.6250 0.6250 0.6250  -0.04
Ag 0.1251 0.6250 0.6250  -0.04
W 0.0000 0.0000 0.0000  -1.70